A plane-wave DFT calculation with GGA-PBE was carried out for a relaxed structure of Nd2Sm3Y5.

Cell lengths 9.8363, 9.8363, 9.3270 Å; angles 108.40, 108.40, 113.64 degrees
Positions (direct):
1 Nd 0.0220 0.2706 0.0439
2 Nd 0.2706 0.0220 0.5439
3 Nd 0.7294 0.9780 0.4561
4 Nd 0.9780 0.7294 0.9561
5 Sm 0.2252 0.4744 0.4513
6 Sm 0.2737 0.7263 0.2500
7 Sm 0.4744 0.2252 0.9513
8 Sm 0.5256 0.7748 0.0487
9 Sm 0.7263 0.2737 0.7500
10 Sm 0.7748 0.5256 0.5487
11 Y 0.0255 0.9745 0.7500
12 Y 0.1313 0.3753 0.7526
13 Y 0.2265 0.7735 0.7500
14 Y 0.3753 0.1313 0.2526
15 Y 0.4750 0.5250 0.2500
16 Y 0.5250 0.4750 0.7500
17 Y 0.6247 0.8687 0.7474
18 Y 0.7735 0.2265 0.2500
19 Y 0.8687 0.6247 0.2474
20 Y 0.9745 0.0255 0.2500

Output
* SG: C2/c, No. 15
* DFT formation energy: 1.8 eV per formula unit
* E: -5.43 eV/atom